[1]
## Cs2NaUSe6 (PBE-GGA)

Data for Cs2NaUSe6 after structural relaxation.

Cell lengths 7.9153, 7.9153, 7.9153 Å; angles 60.00, 60.00, 90.00 degrees
Closest atoms and distances in Å follow each position.
Fractional positions:
Cs: 0.2500 0.7500 0.5000  12 Se 3.96
Cs: 0.7500 0.2500 0.5000  12 Se 3.96
Se: 0.7374 0.7374 0.0000  1 U 2.66, 1 Na 2.94
Se: 0.2626 0.7374 0.0000  1 U 2.66, 1 Na 2.94
Se: 0.2626 0.2626 0.0000  1 U 2.66, 1 Na 2.94
Se: 0.7374 0.7374 0.5252  1 U 2.66, 1 Na 2.94
Se: 0.2626 0.2626 0.4748  1 U 2.66, 1 Na 2.94
Se: 0.7374 0.2626 0.0000  1 U 2.66, 1 Na 2.94
U: 0.5000 0.5000 0.0000  6 Se 2.66
Na: 0.0000 0.0000 0.0000  6 Se 2.94

Output
**Total moment**: 0.00 μB per cell
**Total energy**: -0.322 Ry/atom
**Uncorrected formation energy**: -858 meV/atom

[2]
## CaSc2Os (PBE-GGA)

Data for CaSc2Os after structural relaxation.

Cell lengths 4.6310, 4.6653, 6.0533 Å; angles 39.59, 90.00, 90.00 degrees
Closest atoms and distances in Å follow each position.
Fractional positions:
Sc: 0.5000 0.5000 0.0000  4 Os 3.01, 4 Ca 3.03, 4 Sc 3.29
Sc: 0.0000 0.0000 0.0000  4 Ca 3.01, 4 Os 3.03, 4 Sc 3.29
Os: 0.0000 0.0000 0.5000  8 Sc 3.01-3.03, 4 Ca 3.29
Ca: 0.5000 0.5000 0.5000  8 Sc 3.01-3.03, 4 Os 3.29

Output
**Formation enthalpy at 0 K**: 0.205 eV per atom
**Total moment**: 0.00 μB per cell
**Total energy**: -0.461 Ry/atom
**Energy above the lowest structure with this stoichiometry**: 430 meV/atom

[3]
## ZnTc (PBE-GGA)

Data for ZnTc after structural relaxation.

Cell lengths 7.9647, 7.9647, 7.9647 Å; angles 90.00, 90.00, 90.00 degrees
Closest atoms and distances in Å follow each position.
Fractional positions:
Zn: 0.2020 0.7980 0.7980  4 Tc 2.58-2.70
Zn: 0.7980 0.7980 0.2020  4 Tc 2.58-2.70
Zn: 0.7020 0.2980 0.2980  4 Tc 2.58-2.70
Zn: 0.2020 0.2020 0.2020  4 Tc 2.58-2.70
Zn: 0.7020 0.7020 0.7020  4 Tc 2.58-2.70
Zn: 0.2980 0.2980 0.7020  4 Tc 2.58-2.70
Zn: 0.2980 0.7020 0.2980  4 Tc 2.58-2.70
Zn: 0.7980 0.2020 0.7980  4 Tc 2.58-2.70
Tc: 0.6108 0.3892 0.6108  3 Tc 2.50, 4 Zn 2.58-2.70
Tc: 0.8892 0.1108 0.1108  3 Tc 2.50, 4 Zn 2.58-2.70
Tc: 0.8892 0.8892 0.8892  3 Tc 2.50, 4 Zn 2.58-2.70
Tc: 0.6108 0.6108 0.3892  3 Tc 2.50, 4 Zn 2.58-2.70
Tc: 0.3892 0.3892 0.3892  3 Tc 2.50, 4 Zn 2.58-2.70
Tc: 0.1108 0.8892 0.1108  3 Tc 2.50, 4 Zn 2.58-2.70
Tc: 0.3892 0.6108 0.6108  3 Tc 2.50, 4 Zn 2.58-2.70
Tc: 0.1108 0.1108 0.8892  3 Tc 2.50, 4 Zn 2.58-2.70

Output
**Formation enthalpy at 0 K**: 1.379 eV per atom
**Total moment**: 11.89 μB per cell
**Total energy**: -0.326 Ry/atom
**Energy above the lowest structure with this stoichiometry**: 1419 meV/atom

[4]
## Cs3NdPu2S6 (PBE-GGA)

Data for Cs3NdPu2S6 after structural relaxation.

Cell lengths 7.2690, 7.2690, 8.4132 Å; angles 98.28, 98.28, 120.00 degrees
Closest atoms and distances in Å follow each position.
Fractional positions:
S: 0.0608 0.4013 0.1824  2 Pu 2.81, 1 Nd 2.88
S: 0.9392 0.5987 0.8176  2 Pu 2.81, 1 Nd 2.88
S: 0.7202 0.7202 0.1818  2 Pu 2.81, 1 Nd 2.88
S: 0.5987 0.9392 0.8176  2 Pu 2.81, 1 Nd 2.88
S: 0.2798 0.2798 0.8182  2 Pu 2.81, 1 Nd 2.88
S: 0.4013 0.0608 0.1824  2 Pu 2.81, 1 Nd 2.88
Cs: 0.5000 0.5000 0.5000  6 S 3.49-3.54
Cs: 0.1653 0.8347 0.5000  6 S 3.50-3.54
Cs: 0.8347 0.1653 0.5000  6 S 3.50-3.54
Pu: 0.6668 0.3332 0.0000  6 S 2.81
Pu: 0.3332 0.6668 0.0000  6 S 2.81
Nd: 0.0000 0.0000 0.0000  6 S 2.88

Output
**Total moment**: 10.00 μB per cell
**Total energy**: -0.491 Ry/atom
**Uncorrected formation energy**: -1622 meV/atom

[5]
## TbHgSe2 (PBE-GGA)

Data for TbHgSe2 after structural relaxation.

Cell lengths 4.1074, 4.1074, 8.8840 Å; angles 76.63, 76.63, 60.00 degrees
Closest atoms and distances in Å follow each position.
Fractional positions:
Se: 0.1056 0.1056 0.6833  1 Tb 2.71, 3 Hg 2.84
Se: 0.8944 0.8944 0.3167  1 Tb 2.71, 3 Hg 2.84
Hg: 0.5000 0.5000 0.5000  6 Se 2.84
Tb: 0.0000 0.0000 0.0000  2 Se 2.71

Output
**Total moment**: 0.00 μB per cell
**Total energy**: -0.234 Ry/atom
**Energy above the lowest structure with this stoichiometry**: 840 meV/atom
**Uncorrected formation energy**: -206 meV/atom

[6]
## CoNi2Cl (PBE-GGA)

Data for CoNi2Cl after structural relaxation.

Cell lengths 2.7411, 4.2707, 4.2582 Å; angles 90.00, 90.00, 90.00 degrees
Closest atoms and distances in Å follow each position.
Fractional positions:
Ni: 0.5000 0.5000 0.0000  4 Co 2.53, 6 Ni 2.54-2.74
Ni: 0.0000 0.0000 0.0000  4 Cl 2.53, 6 Ni 2.54-2.74
Co: 0.0000 0.5000 0.5000  4 Ni 2.53, 4 Cl 2.54, 2 Co 2.74
Cl: 0.5000 0.0000 0.5000  4 Ni 2.53, 4 Co 2.54, 2 Cl 2.74

Output
**Total moment**: 2.65 μB per cell
**Total energy**: -0.333 Ry/atom
**Energy above the lowest structure with this stoichiometry**: 378 meV/atom
**Uncorrected formation energy**: 593 meV/atom

[7]
## Cs2Mg3ZrF12 (PBE-GGA)

Data for Cs2Mg3ZrF12 after structural relaxation.

Cell lengths 7.7241, 7.7241, 7.7241 Å; angles 57.59, 57.59, 57.59 degrees
Closest atoms and distances in Å follow each position.
Fractional positions:
F: 0.6778 0.0725 0.0725  1 Zr 2.04, 1 Mg 2.12
F: 0.3098 0.3098 0.9258  2 Mg 1.97
F: 0.0725 0.0725 0.6778  1 Zr 2.04, 1 Mg 2.12
F: 0.0742 0.6902 0.6902  2 Mg 1.97
F: 0.0725 0.6778 0.0725  1 Zr 2.04, 1 Mg 2.12
F: 0.9275 0.9275 0.3222  1 Zr 2.04, 1 Mg 2.12
F: 0.3098 0.9258 0.3098  2 Mg 1.97
F: 0.6902 0.0742 0.6902  2 Mg 1.97
F: 0.9275 0.3222 0.9275  1 Zr 2.04, 1 Mg 2.12
F: 0.6902 0.6902 0.0742  2 Mg 1.97
F: 0.9258 0.3098 0.3098  2 Mg 1.97
F: 0.3222 0.9275 0.9275  1 Zr 2.04, 1 Mg 2.12
Cs: 0.3988 0.3988 0.3988  6 F 3.12-3.47
Cs: 0.6012 0.6012 0.6012  6 F 3.12-3.47
Mg: 0.5000 0.0000 0.0000  6 F 1.97-2.12
Mg: 0.0000 0.5000 0.0000  6 F 1.97-2.12
Mg: 0.0000 0.0000 0.5000  6 F 1.97-2.12
Zr: 0.0000 0.0000 0.0000  6 F 2.04

Output
**Total moment**: 0.00 μB per cell
**Total energy**: -0.406 Ry/atom
**Uncorrected formation energy**: -3447 meV/atom

[8]
## Sc2PtIO (PBE-GGA)

Data for Sc2PtIO after structural relaxation.

Cell lengths 5.3419, 3.9774, 5.3419 Å; angles 90.00, 90.00, 90.00 degrees
Closest atoms and distances in Å follow each position.
Fractional positions:
Sc: 0.5000 0.0000 0.0000  2 I 2.67
Sc: 0.0000 0.0000 0.5000  2 I 2.67
Pt: 0.5000 0.5000 0.5000  8 Sc 3.33
I: 0.0000 0.0000 0.0000  2 O 1.99
O: 0.0000 0.5000 0.0000  2 I 1.99

Output
**Total moment**: 0.00 μB per cell
**Total energy**: -0.363 Ry/atom
**Uncorrected formation energy**: 102 meV/atom

[9]
## SmHfBi2 (PBE-GGA)

Data for SmHfBi2 after structural relaxation.

Cell lengths 3.4573, 3.4573, 11.5838 Å; angles 81.42, 81.42, 60.00 degrees
Closest atoms and distances in Å follow each position.
Fractional positions:
Sm: 0.0000 0.0000 0.0000  2 Bi 3.29, 6 Sm 3.46
Bi: 0.0960 0.0960 0.7120  3 Hf 3.14, 1 Sm 3.29, 6 Bi 3.46
Bi: 0.9040 0.9040 0.2880  3 Hf 3.14, 1 Sm 3.29, 6 Bi 3.46
Hf: 0.5000 0.5000 0.5000  6 Bi 3.14, 6 Hf 3.46

Output
**Formation enthalpy at 0 K**: 0.008 eV per atom
**Total moment**: 0.00 μB per cell
**Total energy**: -0.412 Ry/atom
**Energy above the lowest structure with this stoichiometry**: 299 meV/atom

[10]
## TeMoAsSe2 (PBE-GGA)

Data for TeMoAsSe2 after structural relaxation.

Cell lengths 4.8350, 4.8350, 5.1783 Å; angles 90.00, 90.00, 90.00 degrees
Closest atoms and distances in Å follow each position.
Fractional positions:
Mo: 0.0000 0.0000 0.0000  4 Se 2.42, 2 As 2.59
Te: 0.5000 0.5000 0.5000  4 As 3.42, 8 Se 3.54
Se: 0.0000 0.5000 0.0000  2 Mo 2.42
Se: 0.5000 0.0000 0.0000  2 Mo 2.42
As: 0.0000 0.0000 0.5000  2 Mo 2.59

Output
**Total moment**: 0.00 μB per cell
**Total energy**: -0.354 Ry/atom
**Energy above the lowest structure with this stoichiometry**: 0 meV/atom
**Uncorrected formation energy**: 307 meV/atom

[11]
## LiYErTe3 (PBE-GGA)

Data for LiYErTe3 after structural relaxation.

Cell lengths 4.2062, 8.8346, 9.4480 Å; angles 103.83, 90.00, 90.00 degrees
Closest atoms and distances in Å follow each position.
Fractional positions:
Te: 0.7500 0.2376 0.4967  3 Li 2.73-2.77
Te: 0.2500 0.0900 0.8768  1 Li 2.75
Te: 0.2500 0.5761 0.8285  3 Er 3.02-3.08, 2 Y 3.12
Te: 0.7500 0.9100 0.1232  1 Li 2.75
Te: 0.7500 0.4239 0.1715  3 Er 3.02-3.08, 2 Y 3.12
Te: 0.2500 0.7624 0.5033  3 Li 2.73-2.77
Er: 0.2500 0.6675 0.1642  6 Te 3.02-3.11
Er: 0.7500 0.3325 0.8358  6 Te 3.02-3.11
Li: 0.7500 0.9149 0.4151  4 Te 2.73-2.77, 2 Li 2.85
Li: 0.2500 0.0851 0.5849  4 Te 2.73-2.77, 2 Li 2.85
Y: 0.7500 0.8134 0.7677  7 Te 3.12-3.26
Y: 0.2500 0.1866 0.2323  7 Te 3.12-3.26

Output
**Total moment**: 0.00 μB per cell
**Total energy**: -0.364 Ry/atom
**Uncorrected formation energy**: -1221 meV/atom

[12]
## LaHoCuSn (PBE-GGA)

Data for LaHoCuSn after structural relaxation.

Cell lengths 5.2836, 5.2836, 5.2836 Å; angles 60.00, 60.00, 60.00 degrees
Closest atoms and distances in Å follow each position.
Fractional positions:
La: 0.2500 0.2500 0.2500  4 Sn 3.24, 4 Cu 3.24
Sn: 0.0000 0.0000 0.0000  4 La 3.24, 4 Ho 3.24
Cu: 0.5000 0.5000 0.5000  4 La 3.24, 4 Ho 3.24
Ho: 0.7500 0.7500 0.7500  4 Sn 3.24, 4 Cu 3.24

Output
**Formation enthalpy at 0 K**: -0.419 eV per atom
**Total moment**: 0.00 μB per cell
**Total energy**: -0.354 Ry/atom

Q: Which formula does entry 1 have?
A: Cs2NaUSe6